Here is a relaxed structure of CrPCl2 from the Alexandria database. Energies are from GGA-PBEsol.

Calculated values
The total energy is -4.799 eV per atom. Its magnetization is 4.00 μB/f.u.

Lattice parameters (Å, degrees): 3.0726 4.0971 5.4425 90.00 90.00 90.00
Last column: magnetic moment on the atom in μB.
Fractional coordinates of all 4 atoms:
Cl 0.0000 0.0000 0.0000  -0.04
Cl 0.5000 0.0000 0.5000  0.02
P 0.0000 0.5000 0.5000  -0.11
Cr 0.5000 0.5000 0.0000  3.80